## Cs2Ni2F (PBE with a Hubbard U)

Data for a relaxed Cs2Ni2F crystal.

Cell: 8.9301 8.9301 4.3510 Å, 90.00 90.00 90.00°
Element x y z (fractional)
Cs: 0.2046 0.2954 0.0000
Cs: 0.2954 0.7954 0.0000
Cs: 0.7046 0.2046 0.0000
Cs: 0.7954 0.7046 0.0000
Ni: 0.0947 0.5947 0.5000
Ni: 0.4053 0.0947 0.5000
Ni: 0.5947 0.9053 0.5000
Ni: 0.9053 0.4053 0.5000
F: 0.0000 0.0000 0.5000
F: 0.5000 0.5000 0.5000

## Properties
uncorrected energy: -16.5 eV for the cell shown
spin magnetization: 6.00 Bohr magnetons per cell